# 1
A geometry-optimized Ti3IrC structure. Source: Alexandria, functional PBE.

Formation energy from the elements, meV per atom: -611

POSCAR file:
```
Ti3IrC
1.0
-3.162 1.219 -2.365
-0.127 -3.738 -1.758
-2.658 -1.272 2.898
C Ir Ti
1 1 3
direct
0.000 0.000 0.000
0.500 0.500 0.500
0.000 0.500 0.000
0.000 0.000 0.500
0.500 0.000 0.000
```

***

# 2
A geometry-optimized Nd2Y4TmSc structure. Source: Alexandria, functional PBE.

Formation energy from the elements, meV per atom: 38

POSCAR file:
```
Nd2Y4TmSc
1.0
-4.706 1.580 0.861
-1.679 -4.722 -0.508
-0.395 -6.232 9.281
Nd Y Tm Sc
2 4 1 1
direct
0.000 0.000 0.000
0.500 0.000 0.500
0.000 0.746 0.754
0.000 0.254 0.246
0.500 0.754 0.246
0.500 0.246 0.754
0.000 0.500 0.500
0.500 0.500 0.000
```

***

# 3
A geometry-optimized ReAgTe2 structure. Source: Alexandria, functional PBE.

POSCAR file:
```
ReAgTe2
1.0
-5.374 2.347 2.078
-3.115 -3.542 -4.056
-4.587 -5.090 3.197
Re Te Ag
2 4 2
direct
0.000 0.000 0.000
0.750 0.250 0.500
0.657 0.125 0.250
0.093 0.625 0.250
0.375 0.343 0.750
0.875 0.907 0.750
0.500 0.500 0.000
0.250 0.750 0.500
```

***

# 4
A geometry-optimized AgW2 structure. Source: Alexandria, functional PBE.

Formation energy from the elements, meV per atom: 573

POSCAR file:
```
AgW2
1.0
-0.680 -2.284 -3.975
2.847 -1.742 3.216
-2.045 -1.309 1.102
Ag W
1 2
direct
0.000 0.000 0.000
0.333 0.667 0.354
0.667 0.333 0.646
```

***

Looking at VASP energy for the records above, in order, we have -8.96; -5.74; -4.91; -9.01 eV/atom.
Looking at total magnetic moment for the records above, in order, we have 0.00; 0.00; 0.00; 0.00 μB/atom.